1.
Material: SnPt15
Method: DFT, PBE
State: relaxed

DFT total energy: -5.9117 eV/atom

```
data_SnPt15
_cell_length_a 5.561
_cell_length_b 2.827
_cell_length_c 44.956
_cell_angle_alpha 90.00
_cell_angle_beta 90.00
_cell_angle_gamma 90.00
_space_group_name_H-M_alt 'P 1 21/m 1'
_space_group_IT_number 11
_space_group_name_Hall '-P 2yb'
loop_
_atom_site_label
_atom_site_fract_x
_atom_site_fract_y
_atom_site_fract_z
_atom_site_occupancy
Sn1 0.125 0.250 0.164 1
Pt1 0.122 0.250 0.787 1
Pt2 0.124 0.250 0.698 1
Pt3 0.125 0.250 0.257 1
Pt4 0.125 0.250 0.346 1
Pt5 0.125 0.250 0.434 1
Pt6 0.125 0.250 0.522 1
Pt7 0.125 0.250 0.610 1
Pt8 0.372 0.750 0.213 1
Pt9 0.374 0.750 0.302 1
Pt10 0.375 0.750 0.390 1
Pt11 0.375 0.750 0.478 1
Pt12 0.375 0.750 0.566 1
Pt13 0.375 0.750 0.654 1
Pt14 0.375 0.750 0.742 1
Pt15 0.375 0.750 0.831 1
```

***

2.
Material: GdSiHg
Method: DFT, PBE
State: relaxed

DFT total energy: -3.7101 eV/atom

```
data_GdSiHg
_cell_length_a 6.637
_cell_length_b 6.637
_cell_length_c 6.637
_cell_angle_alpha 90.00
_cell_angle_beta 90.00
_cell_angle_gamma 90.00
_space_group_name_H-M_alt 'F -4 3 m'
_space_group_IT_number 216
_space_group_name_Hall 'F -4 2 3'
loop_
_atom_site_label
_atom_site_fract_x
_atom_site_fract_y
_atom_site_fract_z
_atom_site_occupancy
Gd1 0.000 0.000 0.000 1
Si1 0.250 0.250 0.250 1
Hg1 0.000 0.000 0.500 1
```

***

3.
Material: TmSiAg
Method: DFT, PBE
State: relaxed

DFT total energy: -4.1371 eV/atom

```
data_TmSiAg
_cell_length_a 8.3316
_cell_length_b 8.3316
_cell_length_c 3.0441
_cell_angle_alpha 90.00
_cell_angle_beta 90.00
_cell_angle_gamma 120.00
_space_group_name_H-M_alt 'P -6 2 m'
_space_group_IT_number 189
_space_group_name_Hall 'P -6 -2'
loop_
_atom_site_label
_atom_site_fract_x
_atom_site_fract_y
_atom_site_fract_z
_atom_site_occupancy
Tm1 0.0000 0.3337 0.0000 1
Si1 0.0000 0.0000 0.5000 1
Si2 0.3333 0.6667 0.5000 1
Ag1 0.0000 0.6671 0.0000 1
```

***

4.
Material: CuPb5Au3
Method: DFT, PBE
State: relaxed

DFT total energy: -3.3358 eV/atom

```
data_CuPb5Au3
_cell_length_a 5.9130
_cell_length_b 5.9130
_cell_length_c 8.4121
_cell_angle_alpha 90.00
_cell_angle_beta 90.00
_cell_angle_gamma 120.00
_space_group_name_H-M_alt 'P 6/m m m'
_space_group_IT_number 191
_space_group_name_Hall '-P 6 2'
loop_
_atom_site_label
_atom_site_fract_x
_atom_site_fract_y
_atom_site_fract_z
_atom_site_occupancy
Cu1 0.0000 0.0000 0.0000 1
Pb1 0.0000 0.0000 0.5000 1
Pb2 0.3333 0.6667 0.1956 1
Au1 0.0000 0.5000 0.5000 1
```

***

5.
Material: SmPPbO
Method: DFT, PBE
State: relaxed

DFT total energy: -6.0795 eV/atom

```
data_SmPPbO
_cell_length_a 4.052
_cell_length_b 8.510
_cell_length_c 5.998
_cell_angle_alpha 90.00
_cell_angle_beta 90.00
_cell_angle_gamma 90.00
_space_group_name_H-M_alt 'P m c 21'
_space_group_IT_number 26
_space_group_name_Hall 'P 2c -2'
loop_
_atom_site_label
_atom_site_fract_x
_atom_site_fract_y
_atom_site_fract_z
_atom_site_occupancy
Sm1 0.000 0.165 0.000 1
P1 0.000 0.165 0.487 1
Pb1 0.500 0.366 0.580 1
O1 0.500 0.267 0.952 1
```

***

6.
Material: LaAl2Ir2
Method: DFT, PBE
State: relaxed

DFT total energy: -6.9232 eV/atom

```
data_LaAl2Ir2
_cell_length_a 4.321
_cell_length_b 4.321
_cell_length_c 10.275
_cell_angle_alpha 90.00
_cell_angle_beta 90.00
_cell_angle_gamma 90.00
_space_group_name_H-M_alt 'P 4/n m m'
_space_group_IT_number 129
loop_
_space_group_symop_operation_xyz
'x,y,z'
'-x,-y,-z'
'-y+1/2,x,z'
'y+1/2,-x,-z'
'-x+1/2,-y+1/2,z'
'x+1/2,y+1/2,-z'
'y,-x+1/2,z'
'-y,x+1/2,-z'
'x+1/2,-y,-z'
'-x+1/2,y,z'
'-y,-x,-z'
'y,x,z'
'-x,y+1/2,-z'
'x,-y+1/2,z'
'y+1/2,x+1/2,-z'
'-y+1/2,-x+1/2,z'
loop_
_atom_site_label
_atom_site_fract_x
_atom_site_fract_y
_atom_site_fract_z
_atom_site_occupancy
La1 0.250 0.250 0.240 1
Al1 0.250 0.250 0.880 1
Al2 0.250 0.750 0.500 1
Ir1 0.250 0.250 0.632 1
Ir2 0.250 0.750 0.000 1
```